Here is Ca2Cd2As after structural relaxation from Alexandria. Energies are from PBE-GGA.

Lattice parameters (Å, degrees): 7.6647 7.6647 4.5945 90.00 90.00 90.00
With the nearest neighbours (Å) after each atom.
Element x y z (fractional)
Ca  0.1747  0.3253  0.0000  6 Cd 3.12-3.30
Ca  0.3253  0.8253  0.0000  6 Cd 3.12-3.30
Ca  0.6747  0.1747  0.0000  6 Cd 3.12-3.30
Ca  0.8253  0.6747  0.0000  6 Cd 3.12-3.30
Cd  0.1309  0.6309  0.5000  1 Cd 2.84, 2 As 3.00, 2 Ca 3.12
Cd  0.3691  0.1309  0.5000  1 Cd 2.84, 2 As 3.00, 2 Ca 3.12
Cd  0.6309  0.8691  0.5000  1 Cd 2.84, 2 As 3.00, 2 Ca 3.12
Cd  0.8691  0.3691  0.5000  1 Cd 2.84, 2 As 3.00, 2 Ca 3.12
As  0.0000  0.0000  0.5000  4 Cd 3.00
As  0.5000  0.5000  0.5000  4 Cd 3.00

Values from the calculation:
The energy comes out at -2.4588 eV/atom. As for the formation energy: -0.362 eV/atom. The energy above the lowest structure with this stoichiometry is 0 meV per atom. The calculation puts the density of states at the Fermi level at 2.1 states/eV/f.u.